Entry 1:
The following is a GGA-PBE calculation of crystalline SrFeI at its relaxed geometry, from Alexandria via LeMat-Bulk.

a = 4.5568 Å, b = 5.0020 Å, c = 8.7996 Å
α = 90.00°, β = 104.72°, γ = 90.00°
Last column: magnetic moment on the atom in μB.
Fractional positions:
I 0.6641 0.0000 0.4348  -0.01
I 0.9306 0.0000 0.9827  0.03
Sr 0.8078 0.5000 0.7317  -0.08
Sr 0.0497 0.5000 0.2264  -0.07
Fe 0.4245 0.2779 0.9703  2.45
Fe 0.4245 0.7221 0.9703  2.45

Raw total energy: -24.2 eV for the cell shown
Uncorrected formation energy: -12.3 kJ per mole of atoms



Entry 2:
The following is a GGA-PBE calculation of crystalline FeTePb2 at its relaxed geometry, from Alexandria via LeMat-Bulk.

a = 6.1581 Å, b = 6.1581 Å, c = 6.1581 Å
α = 136.63°, β = 136.63°, γ = 63.00°
Last column: magnetic moment on the atom in μB.
Fractional positions:
Fe 0.7500 0.2500 0.5000  3.04
Pb 0.0000 0.0000 0.0000  -0.06
Pb 0.2500 0.7500 0.5000  -0.06
Te 0.5000 0.5000 0.0000  0.02

Raw total energy: -17.0 eV for the cell shown
Uncorrected formation energy: 49.9 kJ per mole of atoms



Entry 3:
The following is a GGA-PBE calculation of crystalline Pm2FeSiC at its relaxed geometry, from Alexandria via LeMat-Bulk.

a = 4.0015 Å, b = 6.1950 Å, c = 8.5026 Å
α = 109.59°, β = 90.00°, γ = 90.00°
Fractional positions:
Pm 0.7500 0.7860 0.6088
Pm 0.7500 0.7692 0.0311
Pm 0.2500 0.2140 0.3912
Pm 0.2500 0.2308 0.9689
Fe 0.2500 0.5043 0.7462
Fe 0.7500 0.4957 0.2538
Si 0.2500 0.6778 0.2988
Si 0.7500 0.3222 0.7012
C 0.2500 0.8010 0.8241
C 0.7500 0.1990 0.1759

Raw total energy: -68.9 eV for the cell shown
Uncorrected formation energy: -35.9 kJ per mole of atoms



Entry 4:
The following is a GGA-PBE calculation of crystalline CaFe2Se at its relaxed geometry, from Alexandria via LeMat-Bulk.

a = 3.6764 Å, b = 3.5493 Å, c = 6.0307 Å
α = 78.68°, β = 90.00°, γ = 90.00°
Last column: magnetic moment on the atom in μB.
Fractional positions:
Ca 0.5000 0.7660 0.7026  0.00
Fe 0.0000 0.9549 0.1437  2.96
Fe 0.5000 0.4345 0.1838  2.81
Se 0.0000 0.3446 0.4699  0.11

E above lowest polymorph: 45 meV/atom
Raw total energy: -23.1 eV for the cell shown
Uncorrected formation energy: -16.6 kJ per mole of atoms